(1)
The following is a PBE calculation of Zr7Rh6 after structural relaxation, from the Alexandria database.

- Energy: -309.49 eV/cell
- Formation energy from the elements: 0.0601 eV/atom

a b c (Å): 5.7604 5.7604 26.2631
angles (deg): 90.00 90.00 120.00
Closest atoms and distances in Å follow each position.
Space group R-3m (No. 166, hexagonal axes)
Inequivalent atoms, fractional coordinates:
Zr 0.0000 0.0000 0.0000 [3 per cell]  6 Zr 2.78
Zr 0.0067 0.5034 0.4171 [18 per cell]  5 Rh 2.74-3.01, 5 Zr 2.78-2.94
Rh 0.0000 0.0000 0.1657 [6 per cell]  6 Zr 2.74
Rh 0.0000 0.0000 0.3385 [6 per cell]  3 Zr 2.85, 1 Rh 2.95
Rh 0.0000 0.0000 0.4508 [6 per cell]  1 Rh 2.58


(2)
The following is a PBE calculation of MgCdTeN2 after structural relaxation, from the Alexandria database.

- Energy: -16.95 eV/cell
- Offset from the most stable computed form: 0.0000 eV per atom
- Raw formation energy: 1.07 eV per atom

a b c (Å): 4.2375 4.2375 6.1542
angles (deg): 90.00 90.00 90.00
Closest atoms and distances in Å follow each position.
Space group P4/mmm (No. 123)
Inequivalent atoms, fractional coordinates:
Mg 0.0000 0.0000 0.0000 [1 per cell]  4 N 2.12
Cd 0.5000 0.5000 0.5000 [1 per cell]  4 Te 3.00
Te 0.0000 0.0000 0.5000 [1 per cell]  4 Cd 3.00, 2 Mg 3.08
N 0.0000 0.5000 0.0000 [2 per cell]  2 Mg 2.12


(3)
The following is a PBE calculation of CeTh4Au5 after structural relaxation, from the Alexandria database.

- Energy: -57.63 eV/cell
- Formation energy from the elements: -0.5633 eV/atom

a b c (Å): 3.7172 3.7172 18.5693
angles (deg): 90.00 90.00 90.00
Closest atoms and distances in Å follow each position.
Space group P4/mmm (No. 123)
Inequivalent atoms, fractional coordinates:
Ce 0.0000 0.0000 0.0000 [1 per cell]  8 Au 3.20
Th 0.0000 0.0000 0.1993 [2 per cell]  8 Au 3.22-3.23
Th 0.0000 0.0000 0.3997 [2 per cell]  8 Au 3.22
Au 0.5000 0.5000 0.0985 [2 per cell]  4 Ce 3.20, 4 Th 3.23
Au 0.5000 0.5000 0.2992 [2 per cell]  8 Th 3.22
Au 0.5000 0.5000 0.5000 [1 per cell]  8 Th 3.22


(4)
The following is a PBE calculation of ZrGa2Mo2 after structural relaxation, from the Alexandria database.

- Energy: -74.83 eV/cell
- Formation energy from the elements: -0.2297 eV/atom
- Offset from the most stable computed form: 0.0000 eV per atom

a b c (Å): 6.9822 6.9822 3.4262
angles (deg): 90.00 90.00 90.00
Closest atoms and distances in Å follow each position.
Space group P4/mbm (No. 127)
Inequivalent atoms, fractional coordinates:
Zr 0.0000 0.0000 0.0000 [2 per cell]  4 Ga 2.76
Ga 0.1256 0.3744 0.0000 [4 per cell]  1 Ga 2.48, 6 Mo 2.63-2.72, 2 Zr 2.76
Mo 0.1729 0.6729 0.5000 [4 per cell]  6 Ga 2.63-2.72


(5)
The following is a PBE calculation of NaAsS3 after structural relaxation, from the Alexandria database.

- Energy: -12.79 eV/cell
- Offset from the most stable computed form: 1.5476 eV per atom
- Raw formation energy: 1.11 eV per atom

a b c (Å): 4.8547 4.8547 4.8547
angles (deg): 90.00 90.00 90.00
Closest atoms and distances in Å follow each position.
Space group Pm-3m (No. 221)
Inequivalent atoms, fractional coordinates:
Na 0.0000 0.0000 0.0000 [1 per cell]  6 S 2.43
As 0.5000 0.5000 0.5000 [1 per cell]  12 S 3.43
S 0.0000 0.0000 0.5000 [3 per cell]  2 Na 2.43


(6)
The following is a PBE calculation of CdCu2Re after structural relaxation, from the Alexandria database.

- Energy: -20.17 eV/cell
- Formation energy from the elements: 0.3471 eV/atom

a b c (Å): 2.7147 2.7147 7.9777
angles (deg): 90.00 90.00 90.00
Closest atoms and distances in Å follow each position.
Space group P4mm (No. 99)
Inequivalent atoms, fractional coordinates:
Cd 0.0000 0.0000 0.0000 [1 per cell]  4 Cd 2.71, 4 Cu 2.84, 4 Re 3.03
Cu 0.0000 0.0000 0.4750 [1 per cell]  8 Cu 2.57-2.71, 4 Re 2.67
Cu 0.5000 0.5000 0.2616 [1 per cell]  8 Cu 2.57-2.71, 4 Cd 2.84
Re 0.5000 0.5000 0.7068 [1 per cell]  4 Cu 2.67, 4 Re 2.71